Record 1
A geometry-optimized Cd3Au structure, computed with GGA-PBEsol.

Unit cell a=5.6046 b=5.6046 c=5.6046 alpha=147.25 beta=64.89 gamma=125.68
Fractional coordinates of all 4 atoms:
Cd 0.0000 0.0000 0.0000
Cd 0.4052 0.6468 0.7584
Cd 0.8884 0.6468 0.2416
Au 0.4817 0.9817 0.5000

Summary:
- E_form (eV/atom) = -0.102
- crystal system = orthorhombic
- E_tot (eV/atom) = -1.98
- M_tot (μB per formula unit) = 0.000

Record 2
A geometry-optimized FeCu2W structure, computed with GGA-PBEsol.

Unit cell a=3.4125 b=3.4760 c=4.0705 alpha=90.00 beta=90.00 gamma=90.00
Fractional coordinates of all 4 atoms:
Fe 0.0000 0.0000 0.0000
Cu 0.0000 0.5000 0.5000
Cu 0.5000 0.0000 0.5000
W 0.5000 0.5000 0.0000

Summary:
- E_form (eV/atom) = 0.333
- crystal system = orthorhombic
- E_tot (eV/atom) = -7.53
- M_tot (μB per formula unit) = 0.001

Record 3
A geometry-optimized TlSb2IBr structure, computed with GGA-PBEsol.

Unit cell a=5.3782 b=5.3782 c=7.0549 alpha=90.00 beta=90.00 gamma=90.00
Fractional coordinates of all 5 atoms:
Tl 0.0000 0.0000 0.0000
Sb 0.0000 0.5000 0.5000
Sb 0.5000 0.0000 0.5000
I 0.5000 0.5000 0.0000
Br 0.5000 0.5000 0.5000

Summary:
- formation energy (no corrections) (eV per atom) = 0.55
- crystal system = tetragonal
- E_tot (eV/atom) = -2.53
- M_tot (μB per formula unit) = 1.939

Record 4
A geometry-optimized TlHg2Au structure, computed with GGA-PBEsol.

Unit cell a=6.0220 b=6.0220 c=6.0220 alpha=147.48 beta=128.74 gamma=62.03
Fractional coordinates of all 4 atoms:
Tl 0.0000 0.0000 0.0000
Hg 0.2731 0.7731 0.5000
Hg 0.7269 0.2269 0.5000
Au 0.5000 0.5000 0.0000

Summary:
- E_form (eV/atom) = 0.044
- crystal system = orthorhombic
- E_tot (eV/atom) = -1.88
- M_tot (μB per formula unit) = 0.000

Record 5
A geometry-optimized ScTlB2 structure, computed with GGA-PBEsol.

Unit cell a=4.3112 b=4.3112 c=4.3112 alpha=60.00 beta=60.00 gamma=60.00
Fractional coordinates of all 4 atoms:
Sc 0.0000 0.0000 0.0000
Tl 0.5000 0.5000 0.5000
B 0.2500 0.2500 0.2500
B 0.7500 0.7500 0.7500

Summary:
- E_form (eV/atom) = 0.926
- crystal system = cubic
- E_tot (eV/atom) = -4.89
- M_tot (μB per formula unit) = 0.000

Record 6
A geometry-optimized Te2Ru structure, computed with GGA-PBEsol.

Unit cell a=5.2631 b=6.3805 c=4.0150 alpha=90.00 beta=90.00 gamma=90.00
Fractional coordinates of all 6 atoms:
Te 0.2220 0.1342 0.0000
Te 0.2780 0.6342 0.5000
Te 0.7220 0.3658 0.5000
Te 0.7780 0.8658 0.0000
Ru 0.0000 0.5000 0.0000
Ru 0.5000 0.0000 0.5000

Summary:
- formation energy (no corrections) (eV per atom) = -0.35
- crystal system = orthorhombic
- E_tot (eV/atom) = -6.09
- M_tot (μB per formula unit) = 0.000

Record 7
A geometry-optimized NiAuO2 structure, computed with GGA-PBEsol.

Unit cell a=2.9184 b=2.9184 c=12.0518 alpha=90.00 beta=90.00 gamma=120.00
Fractional coordinates of all 8 atoms:
Ni 0.0000 0.0000 0.0000
Ni 0.0000 0.0000 0.5000
Au 0.3333 0.6667 0.2500
Au 0.6667 0.3333 0.7500
O 0.3333 0.6667 0.0800
O 0.3333 0.6667 0.4200
O 0.6667 0.3333 0.5800
O 0.6667 0.3333 0.9200

Summary:
- formation energy (no corrections) (eV per atom) = -0.57
- crystal system = hexagonal
- E_tot (eV/atom) = -5.71
- M_tot (μB per formula unit) = 0.721

Record 8
A geometry-optimized NbCuTeP2 structure, computed with GGA-PBEsol.

Unit cell a=4.3530 b=4.3530 c=5.1090 alpha=90.00 beta=90.00 gamma=90.00
Fractional coordinates of all 5 atoms:
Nb 0.0000 0.0000 0.0000
Cu 0.5000 0.5000 0.5000
Te 0.5000 0.5000 0.0000
P 0.0000 0.5000 0.5000
P 0.5000 0.0000 0.5000

Summary:
- formation energy (no corrections) (eV per atom) = 0.83
- crystal system = tetragonal
- E_tot (eV/atom) = -5.22
- M_tot (μB per formula unit) = 1.843

Record 9
A geometry-optimized PrMgRh structure, computed with GGA-PBEsol.

Unit cell a=7.1678 b=4.1626 c=8.6319 alpha=90.00 beta=90.00 gamma=90.00
Fractional coordinates of all 12 atoms:
Pr 0.0376 0.2500 0.1791
Pr 0.4624 0.7500 0.6791
Pr 0.5376 0.2500 0.3209
Pr 0.9624 0.7500 0.8209
Mg 0.1342 0.2500 0.5573
Mg 0.3658 0.7500 0.0573
Mg 0.6342 0.2500 0.9427
Mg 0.8658 0.7500 0.4427
Rh 0.2483 0.7500 0.3733
Rh 0.2517 0.2500 0.8733
Rh 0.7483 0.7500 0.1267
Rh 0.7517 0.2500 0.6267

Summary:
- E_form (eV/atom) = -0.526
- crystal system = orthorhombic
- E_tot (eV/atom) = -5.54
- M_tot (μB per formula unit) = 0.000

Record 10
A geometry-optimized HgSeNF2 structure, computed with GGA-PBEsol.

Unit cell a=4.3720 b=4.3720 c=4.2622 alpha=90.00 beta=90.00 gamma=90.00
Fractional coordinates of all 5 atoms:
Hg 0.0000 0.0000 0.0000
Se 0.5000 0.5000 0.5000
N 0.0000 0.0000 0.5000
F 0.0000 0.5000 0.0000
F 0.5000 0.0000 0.0000

Summary:
- formation energy (no corrections) (eV per atom) = 0.52
- crystal system = tetragonal
- E_tot (eV/atom) = -2.84
- M_tot (μB per formula unit) = 0.718

Record 11
A geometry-optimized InTe2P structure, computed with GGA-PBEsol.

Unit cell a=4.1924 b=4.1924 c=5.8253 alpha=90.00 beta=90.00 gamma=90.00
Fractional coordinates of all 4 atoms:
In 0.0000 0.0000 0.0000
Te 0.0000 0.0000 0.5000
Te 0.5000 0.5000 0.0000
P 0.5000 0.5000 0.5000

Summary:
- formation energy (no corrections) (eV per atom) = 0.04
- crystal system = tetragonal
- E_tot (eV/atom) = -3.92
- M_tot (μB per formula unit) = 0.000

Record 12
A geometry-optimized Pd2PbBr structure, computed with GGA-PBEsol.

Unit cell a=4.7477 b=4.7477 c=4.7477 alpha=60.00 beta=60.00 gamma=60.00
Fractional coordinates of all 4 atoms:
Pd 0.2500 0.2500 0.2500
Pd 0.7500 0.7500 0.7500
Pb 0.0000 0.0000 0.0000
Br 0.5000 0.5000 0.5000

Summary:
- formation energy (no corrections) (eV per atom) = -0.06
- crystal system = cubic
- E_tot (eV/atom) = -4.50
- M_tot (μB per formula unit) = 0.000

Record 13
A geometry-optimized CoHO2 structure, computed with GGA-PBEsol.

Unit cell a=4.5924 b=4.5924 c=4.5924 alpha=36.10 beta=36.10 gamma=36.10
Fractional coordinates of all 4 atoms:
Co 0.0000 0.0000 0.0000
H 0.5000 0.5000 0.5000
O 0.4064 0.4064 0.4064
O 0.5936 0.5936 0.5936

Summary:
- crystal system = trigonal
- E_tot (eV/atom) = -6.48
- M_tot (μB per formula unit) = 0.000

Record 14
A geometry-optimized TlNi2Cl structure, computed with GGA-PBEsol.

Unit cell a=3.1710 b=3.1710 c=7.5156 alpha=90.00 beta=90.00 gamma=120.84
Fractional coordinates of all 4 atoms:
Tl 0.0000 0.0000 0.0000
Ni 0.5000 0.5000 0.2701
Ni 0.5000 0.5000 0.7299
Cl 0.0000 0.0000 0.5000

Summary:
- formation energy (no corrections) (eV per atom) = 0.33
- crystal system = orthorhombic
- E_tot (eV/atom) = -3.91
- M_tot (μB per formula unit) = 0.350

Record 15
A geometry-optimized CsCd3Rh structure, computed with GGA-PBEsol.

Unit cell a=5.2430 b=5.2430 c=5.2430 alpha=90.00 beta=90.00 gamma=90.00
Fractional coordinates of all 5 atoms:
Cs 0.0000 0.0000 0.0000
Cd 0.0000 0.5000 0.5000
Cd 0.5000 0.0000 0.5000
Cd 0.5000 0.5000 0.0000
Rh 0.5000 0.5000 0.5000

Summary:
- E_form (eV/atom) = -0.012
- crystal system = cubic
- E_tot (eV/atom) = -2.55
- M_tot (μB per formula unit) = 0.000

Record 16
A geometry-optimized Cu2GeS3 structure, computed with GGA-PBEsol.

Unit cell a=12.2798 b=6.3949 c=11.7158 alpha=79.48 beta=30.80 gamma=69.72
Fractional coordinates of all 24 atoms:
Cu 0.0000 0.0000 0.0000
Cu 0.0877 0.4134 0.0753
Cu 0.1747 0.8264 0.1623
Cu 0.2500 0.2500 0.2500
Cu 0.4134 0.0877 0.4236
Cu 0.4951 0.4951 0.5049
Cu 0.7451 0.7451 0.7549
Cu 0.8264 0.1747 0.8366
Ge 0.3473 0.6514 0.3168
Ge 0.5654 0.9332 0.5986
Ge 0.6514 0.3473 0.6846
Ge 0.9332 0.5654 0.9027
S 0.0375 0.2007 0.7944
S 0.1198 0.6289 0.8772
S 0.2007 0.0375 0.9674
S 0.2826 0.4556 0.0493
S 0.3728 0.8759 0.1302
S 0.4556 0.2826 0.2125
S 0.5440 0.7103 0.2925
S 0.6289 0.1198 0.3741
S 0.7103 0.5440 0.4532
S 0.7968 0.9575 0.5397
S 0.8759 0.3728 0.6211
S 0.9575 0.7968 0.7060

Summary:
- formation energy (no corrections) (eV per atom) = -0.35
- crystal system = orthorhombic
- E_tot (eV/atom) = -4.81
- M_tot (μB per formula unit) = 0.000

Record 17
A geometry-optimized Sr2CoHg structure, computed with GGA-PBEsol.

Unit cell a=8.7636 b=8.7636 c=8.7636 alpha=26.54 beta=26.54 gamma=26.54
Fractional coordinates of all 4 atoms:
Sr 0.2375 0.2375 0.2375
Sr 0.7625 0.7625 0.7625
Co 0.5000 0.5000 0.5000
Hg 0.0000 0.0000 0.0000

Summary:
- E_form (eV/atom) = 0.277
- crystal system = trigonal
- E_tot (eV/atom) = -2.72
- M_tot (μB per formula unit) = 0.815

Record 18
A geometry-optimized Rb2B4O7 structure, computed with GGA-PBEsol.

Unit cell a=6.6427 b=9.8758 c=10.6316 alpha=89.39 beta=76.83 gamma=78.73
Fractional coordinates of all 52 atoms:
Rb 0.1398 0.1242 0.0470
Rb 0.1675 0.5214 0.1260
Rb 0.2608 0.9946 0.4053
Rb 0.2647 0.6219 0.5066
Rb 0.7353 0.3781 0.4934
Rb 0.7392 0.0054 0.5947
Rb 0.8325 0.4786 0.8740
Rb 0.8602 0.8758 0.9530
B 0.0610 0.1592 0.7371
B 0.1935 0.2916 0.5497
B 0.2985 0.9119 0.7347
B 0.3317 0.3113 0.7486
B 0.3544 0.7955 0.1504
B 0.3712 0.5578 0.8042
B 0.4024 0.2936 0.3183
B 0.4320 0.7735 0.9007
B 0.5680 0.2265 0.0993
B 0.5976 0.7064 0.6817
B 0.6288 0.4422 0.1958
B 0.6456 0.2045 0.8496
B 0.6683 0.6887 0.2514
B 0.7015 0.0881 0.2653
B 0.8065 0.7084 0.4503
B 0.9390 0.8408 0.2629
O 0.0313 0.2309 0.6159
O 0.1413 0.8496 0.1734
O 0.1693 0.0156 0.6874
O 0.1798 0.2284 0.8044
O 0.2057 0.3086 0.4190
O 0.2746 0.4461 0.8230
O 0.2951 0.9000 0.8641
O 0.3159 0.6566 0.9031
O 0.3302 0.3370 0.6098
O 0.3670 0.2556 0.1954
O 0.4340 0.8171 0.6429
O 0.4456 0.7545 0.2525
O 0.4765 0.7888 0.0270
O 0.4814 0.4270 0.3073
O 0.5186 0.5730 0.6927
O 0.5235 0.2112 0.9730
O 0.5544 0.2455 0.7475
O 0.5660 0.1829 0.3571
O 0.6330 0.7444 0.8046
O 0.6698 0.6630 0.3902
O 0.6841 0.3434 0.0969
O 0.7049 0.1000 0.1359
O 0.7254 0.5539 0.1770
O 0.7943 0.6914 0.5810
O 0.8202 0.7716 0.1956
O 0.8307 0.9844 0.3126
O 0.8587 0.1504 0.8266
O 0.9687 0.7691 0.3841

Summary:
- formation energy (no corrections) (eV per atom) = -2.42
- crystal system = triclinic
- E_tot (eV/atom) = -7.56
- M_tot (μB per formula unit) = 0.001

Record 19
A geometry-optimized Cs3OsBr structure, computed with GGA-PBEsol.

Unit cell a=6.5782 b=6.5782 c=6.5782 alpha=90.00 beta=90.00 gamma=90.00
Fractional coordinates of all 5 atoms:
Cs 0.0000 0.0000 0.5000
Cs 0.0000 0.5000 0.0000
Cs 0.5000 0.0000 0.0000
Os 0.5000 0.5000 0.5000
Br 0.0000 0.0000 0.0000

Summary:
- formation energy (no corrections) (eV per atom) = 0.72
- crystal system = cubic
- E_tot (eV/atom) = -2.66
- M_tot (μB per formula unit) = 2.282

Record 20
A geometry-optimized CaLa2Mg structure, computed with GGA-PBEsol.

Unit cell a=7.0776 b=7.0776 c=5.6372 alpha=113.38 beta=113.38 gamma=30.59
Fractional coordinates of all 4 atoms:
Ca 0.0000 0.0000 0.0000
La 0.2207 0.2207 0.7200
La 0.7793 0.7793 0.2800
Mg 0.5000 0.5000 0.5000

Summary:
- E_form (eV/atom) = -0.002
- crystal system = monoclinic
- E_tot (eV/atom) = -3.64
- M_tot (μB per formula unit) = 0.000